Rb2IrC: optimized geometry, GGA-PBE.

Unit cell a=12.1922 b=12.1922 c=8.8356 alpha=46.37 beta=46.37 gamma=90.00
With the nearest neighbours (Å) after each atom.
Element x y z (fractional)
Rb (0.4113, 0.1250, 0.2500)  2 C 3.12, 2 Ir 3.40
Rb (0.8750, 0.6613, 0.7500)  2 C 3.12, 2 Ir 3.40
C (0.2500, 0.7500, 0.5000)  2 Ir 1.93
C (0.5000, 0.5000, 0.0000)  2 Ir 1.93
Rb (0.3387, 0.6250, 0.2500)  2 C 3.12, 2 Ir 3.40
Rb (0.3750, 0.5887, 0.7500)  2 C 3.12, 2 Ir 3.40
Ir (0.7500, 0.2500, 0.5000)  2 C 1.93
Ir (0.0000, 0.0000, 0.0000)  2 C 1.93

Computed properties:
Total magnetization, μB per formula unit: 0.00
Formation enthalpy at 0 K, eV/atom: 0.407